No. 1
VASP calculation (PBE) on crystalline TbHo2Mg2 at its relaxed geometry.

## Properties
crystal system	tetragonal
energy of formation from the pure elements	302	meV per atom
total magnetization	0.0	μB per formula unit

Geometry as POSCAR:
```
TbHo2Mg2
1.0
-2.272 2.272 14.885
2.272 -2.272 14.885
2.272 2.272 -14.885
Tb Ho Mg
2 4 4
direct
0.114 0.114 0.000
0.886 0.886 0.000
0.000 0.500 0.500
0.327 0.327 0.000
0.500 0.000 0.500
0.673 0.673 0.000
0.250 0.750 0.500
0.426 0.426 0.000
0.574 0.574 0.000
0.750 0.250 0.500
```

---

No. 2
VASP calculation (PBE) on crystalline Tb3Ho4Mg at its relaxed geometry.

## Properties
crystal system	monoclinic
energy of formation from the pure elements	217	meV per atom
total magnetization	0.0	μB per formula unit

Geometry as POSCAR:
```
Tb3Ho4Mg
1.0
25.444 0.000 0.000
0.000 3.377 0.000
-0.583 0.000 5.813
Tb Ho Mg
6 8 2
direct
0.000 0.000 0.000
0.150 0.000 0.215
0.350 0.500 0.785
0.500 0.500 0.000
0.650 0.500 0.215
0.850 0.000 0.785
0.102 0.000 0.695
0.218 0.500 0.737
0.282 0.000 0.263
0.398 0.500 0.305
0.602 0.500 0.695
0.718 0.000 0.737
0.782 0.500 0.263
0.898 0.000 0.305
0.000 0.500 0.500
0.500 0.000 0.500
```

---

No. 3
VASP calculation (PBE) on crystalline Tb2HoMg at its relaxed geometry.

## Properties
crystal system	cubic
energy of formation from the pure elements	44	meV per atom
total magnetization	0.0	μB per formula unit

Geometry as POSCAR:
```
Tb2HoMg
1.0
7.777 0.000 0.000
0.000 7.777 0.000
0.000 0.000 7.777
Tb Ho Mg
8 4 4
direct
0.250 0.250 0.250
0.250 0.250 0.750
0.250 0.750 0.250
0.250 0.750 0.750
0.750 0.250 0.250
0.750 0.250 0.750
0.750 0.750 0.250
0.750 0.750 0.750
0.000 0.000 0.000
0.000 0.500 0.500
0.500 0.000 0.500
0.500 0.500 0.000
0.000 0.000 0.500
0.000 0.500 0.000
0.500 0.000 0.000
0.500 0.500 0.500
```

---

No. 4
VASP calculation (PBE) on crystalline TbHo5Mg6 at its relaxed geometry.

## Properties
crystal system	monoclinic
energy of formation from the pure elements	-76	meV per atom
total magnetization	0.0	μB per formula unit

Geometry as POSCAR:
```
TbHo5Mg6
1.0
5.359 0.000 0.000
0.000 7.522 0.000
-2.679 0.000 8.035
Tb Ho Mg
1 5 6
direct
0.000 0.000 0.000
0.000 0.500 0.000
0.334 0.000 0.666
0.335 0.500 0.667
0.665 0.500 0.333
0.666 0.000 0.334
0.166 0.251 0.334
0.166 0.749 0.334
0.500 0.251 0.000
0.500 0.749 0.000
0.834 0.251 0.666
0.834 0.749 0.666
```

---

No. 5
VASP calculation (PBE) on crystalline Tb2Ho4Mg5 at its relaxed geometry.

## Properties
crystal system	orthorhombic
energy of formation from the pure elements	235	meV per atom
total magnetization	0.0	μB per formula unit

Geometry as POSCAR:
```
Tb2Ho4Mg5
1.0
0.000 5.021 11.054
3.096 0.000 11.054
3.096 5.021 0.000
Tb Ho Mg
2 4 5
direct
0.114 0.114 0.886
0.886 0.886 0.114
0.206 0.541 0.459
0.459 0.794 0.206
0.541 0.206 0.794
0.794 0.459 0.541
0.000 0.000 0.500
0.250 0.250 0.250
0.500 0.500 0.000
0.500 0.500 0.500
0.750 0.750 0.750
```

---

No. 6
VASP calculation (PBE) on crystalline Tb2Ho2Mg7 at its relaxed geometry.

## Properties
crystal system	orthorhombic
energy of formation from the pure elements	59	meV per atom
total magnetization	0.0	μB per formula unit

Geometry as POSCAR:
```
Tb2Ho2Mg7
1.0
-2.626 7.348 3.865
2.626 -7.348 3.865
2.626 7.348 -3.865
Tb Ho Mg
2 2 7
direct
0.217 0.000 0.217
0.783 0.000 0.783
0.522 0.022 0.500
0.839 0.839 0.000
0.064 0.681 0.383
0.254 0.254 0.000
0.298 0.681 0.617
0.375 0.529 0.845
0.664 0.309 0.355
0.684 0.529 0.155
0.953 0.309 0.645
```

---

No. 7
VASP calculation (PBE) on crystalline Tb2Ho5Mg at its relaxed geometry.

## Properties
crystal system	tetragonal
energy of formation from the pure elements	20	meV per atom
total magnetization	0.0	μB per formula unit

Geometry as POSCAR:
```
Tb2Ho5Mg
1.0
6.979 0.000 0.000
0.000 6.979 0.000
0.000 0.000 9.923
Tb Ho Mg
4 10 2
direct
0.000 0.500 0.000
0.000 0.500 0.500
0.500 0.000 0.000
0.500 0.000 0.500
0.000 0.000 0.000
0.250 0.250 0.250
0.250 0.250 0.750
0.250 0.750 0.250
0.250 0.750 0.750
0.500 0.500 0.500
0.750 0.250 0.250
0.750 0.250 0.750
0.750 0.750 0.250
0.750 0.750 0.750
0.000 0.000 0.500
0.500 0.500 0.000
```

---

No. 8
VASP calculation (PBE) on crystalline Tb6Ho12Mg at its relaxed geometry.

## Properties
crystal system	trigonal
energy of formation from the pure elements	136	meV per atom
total magnetization	0.0	μB per formula unit

Geometry as POSCAR:
```
Tb6Ho12Mg
1.0
5.897 3.404 4.988
-5.897 3.404 4.988
0.000 -6.809 4.988
Tb Ho Mg
6 12 1
direct
0.202 0.761 0.595
0.239 0.405 0.798
0.405 0.798 0.239
0.595 0.202 0.761
0.761 0.595 0.202
0.798 0.239 0.405
0.039 0.935 0.279
0.065 0.721 0.961
0.137 0.487 0.313
0.279 0.039 0.935
0.313 0.137 0.487
0.487 0.313 0.137
0.513 0.687 0.863
0.687 0.863 0.513
0.721 0.961 0.065
0.863 0.513 0.687
0.935 0.279 0.039
0.961 0.065 0.721
0.500 0.500 0.500
```

---

No. 9
VASP calculation (PBE) on crystalline Tb4HoMg7 at its relaxed geometry.

## Properties
crystal system	trigonal
energy of formation from the pure elements	-26	meV per atom
total magnetization	0.0	μB per formula unit

Geometry as POSCAR:
```
Tb4HoMg7
1.0
5.299 0.000 0.000
-2.650 4.589 0.000
0.000 0.000 13.239
Tb Ho Mg
4 1 7
direct
0.333 0.667 0.162
0.333 0.667 0.421
0.667 0.333 0.579
0.667 0.333 0.838
0.000 0.000 0.000
0.000 0.000 0.262
0.000 0.000 0.500
0.000 0.000 0.738
0.333 0.667 0.683
0.333 0.667 0.918
0.667 0.333 0.082
0.667 0.333 0.317
```

---

No. 10
VASP calculation (PBE) on crystalline TbHo2Mg4 at its relaxed geometry.

## Properties
crystal system	tetragonal
energy of formation from the pure elements	144	meV per atom
total magnetization	0.3	μB per formula unit

Geometry as POSCAR:
```
TbHo2Mg4
1.0
5.370 0.000 0.000
0.000 5.370 0.000
0.000 0.000 14.407
Tb Ho Mg
2 4 8
direct
0.000 0.000 0.000
0.500 0.500 0.500
0.000 0.000 0.250
0.000 0.000 0.750
0.500 0.500 0.250
0.500 0.500 0.750
0.000 0.500 0.118
0.000 0.500 0.382
0.000 0.500 0.618
0.000 0.500 0.882
0.500 0.000 0.118
0.500 0.000 0.382
0.500 0.000 0.618
0.500 0.000 0.882
```

---

No. 11
VASP calculation (PBE) on crystalline Tb3Ho7Mg at its relaxed geometry.

## Properties
crystal system	trigonal
energy of formation from the pure elements	194	meV per atom
total magnetization	0.0	μB per formula unit

Geometry as POSCAR:
```
Tb3Ho7Mg
1.0
6.953 0.000 0.000
-3.476 6.021 0.000
0.000 0.000 8.522
Tb Ho Mg
3 7 1
direct
0.168 0.337 0.000
0.168 0.832 0.000
0.663 0.832 0.000
0.006 0.503 0.660
0.333 0.166 0.335
0.333 0.667 0.331
0.497 0.503 0.660
0.497 0.994 0.660
0.834 0.166 0.335
0.834 0.667 0.335
0.000 0.000 0.660
```

---

No. 12
VASP calculation (PBE) on crystalline TbHo6Mg2 at its relaxed geometry.

## Properties
crystal system	trigonal
energy of formation from the pure elements	198	meV per atom
total magnetization	0.0	μB per formula unit

Geometry as POSCAR:
```
TbHo6Mg2
1.0
3.301 1.906 7.216
-3.301 1.906 7.216
0.000 -3.811 7.216
Tb Ho Mg
1 6 2
direct
0.000 0.000 0.000
0.053 0.516 0.598
0.215 0.761 0.661
0.516 0.598 0.053
0.598 0.053 0.516
0.661 0.215 0.761
0.761 0.661 0.215
0.139 0.139 0.139
0.272 0.272 0.272
```